(w)
# LiEuI2

LiEuI2 after structural relaxation (GGA-PBE, Alexandria via LeMat-Bulk).

Output
Calculated density in g/cm³: 5.5

Lattice parameters (Å, degrees): 3.9834 3.9834 7.7892 90.00 90.00 90.00
Space group P4/mmm (No. 123)
One atom of each set of equivalent atoms:
Li1 0.0000 0.0000 0.0000 [1 per cell]
Eu1 0.0000 0.0000 0.5000 [1 per cell]
I1 0.5000 0.5000 0.2504 [2 per cell]

=====

(x)
# LiEuI2

LiEuI2 after structural relaxation (GGA-PBE, Alexandria via LeMat-Bulk).

Output
Calculated density in g/cm³: 5.4

Lattice parameters (Å, degrees): 4.1686 4.1686 25.2597 90.00 90.00 120.00
Space group R-3m (No. 166, hexagonal axes)
One atom of each set of equivalent atoms:
Li1 0.0000 0.0000 0.0000 [3 per cell]
Eu1 0.0000 0.0000 0.5000 [3 per cell]
I1 0.0000 0.0000 0.2639 [6 per cell]

=====

Short version: (w) is the least stable of them.

=====

(w)
# NaEuI

NaEuI after structural relaxation (GGA-PBE, Alexandria via LeMat-Bulk).

Output
Calculated density in g/cm³: 4.0

Lattice parameters (Å, degrees): 5.6868 5.6868 4.4795 90.00 90.00 120.00
Space group P3m1 (No. 156)
One atom of each set of equivalent atoms:
Na1 0.0000 0.0000 0.0000 [1 per cell]
Eu1 0.6667 0.3333 0.5000 [1 per cell]
I1 0.3333 0.6667 0.5028 [1 per cell]

=====

(x)
# NaEuI

NaEuI after structural relaxation (GGA-PBE, Alexandria via LeMat-Bulk).

Output
Calculated density in g/cm³: 4.2

Lattice parameters (Å, degrees): 4.0096 4.0096 14.7892 90.00 90.00 90.00
Space group I4mm (No. 107)
One atom of each set of equivalent atoms:
Na1 0.0000 0.0000 0.0000 [2 per cell]
Eu1 0.0000 0.0000 0.6919 [2 per cell]
I1 0.0000 0.0000 0.3171 [2 per cell]

=====

Short version: (w) is the least stable of them.

=====

(w)
# Na2EuI

Na2EuI after structural relaxation (GGA-PBE, Alexandria via LeMat-Bulk).

Output
Calculated density in g/cm³: 3.1

Lattice parameters (Å, degrees): 4.1518 4.1518 35.1651 90.00 90.00 120.00
Space group R-3m (No. 166, hexagonal axes)
One atom of each set of equivalent atoms:
Na1 0.0000 0.0000 0.1075 [6 per cell]
Eu1 0.0000 0.0000 0.0000 [3 per cell]
I1 0.0000 0.0000 0.5000 [3 per cell]

=====

(x)
# Na2EuI

Na2EuI after structural relaxation (GGA-PBE, Alexandria via LeMat-Bulk).

Output
Calculated density in g/cm³: 3.4

Lattice parameters (Å, degrees): 3.9992 3.9992 9.7772 90.00 90.00 90.00
Space group P4/mmm (No. 123)
One atom of each set of equivalent atoms:
Na1 0.0000 0.0000 0.1924 [2 per cell]
Eu1 0.5000 0.5000 0.5000 [1 per cell]
I1 0.5000 0.5000 0.0000 [1 per cell]

=====

Short version: (w) is the least stable of them.

=====

(w)
# Eu2NiI

Eu2NiI after structural relaxation (GGA-PBE, Alexandria via LeMat-Bulk).

Output
Calculated density in g/cm³: 6.6

Lattice parameters (Å, degrees): 4.2137 4.2137 24.1262 90.00 90.00 120.00
Space group R-3m (No. 166, hexagonal axes)
One atom of each set of equivalent atoms:
Eu1 0.0000 0.0000 0.2315 [6 per cell]
Ni1 0.0000 0.0000 0.5000 [3 per cell]
I1 0.0000 0.0000 0.0000 [3 per cell]

=====

(x)
# Eu2NiI

Eu2NiI after structural relaxation (GGA-PBE, Alexandria via LeMat-Bulk).

Output
Calculated density in g/cm³: 7.3

Lattice parameters (Å, degrees): 3.7196 3.7196 8.0972 90.00 90.00 90.00
Space group P4/mmm (No. 123)
One atom of each set of equivalent atoms:
Eu1 0.0000 0.0000 0.2077 [2 per cell]
Ni1 0.5000 0.5000 0.0000 [1 per cell]
I1 0.5000 0.5000 0.5000 [1 per cell]

=====

Short version: (x) is the least stable of them.

=====

(w)
# Eu2IO

Eu2IO after structural relaxation (GGA-PBE, Alexandria via LeMat-Bulk).

Output
Calculated density in g/cm³: 7.4

Lattice parameters (Å, degrees): 3.8969 3.8969 22.8326 90.00 90.00 120.00
Space group R-3m (No. 166, hexagonal axes)
One atom of each set of equivalent atoms:
Eu1 0.0000 0.0000 0.2233 [6 per cell]
I1 0.0000 0.0000 0.0000 [3 per cell]
O1 0.0000 0.0000 0.5000 [3 per cell]

=====

(x)
# Eu2IO

Eu2IO after structural relaxation (GGA-PBE, Alexandria via LeMat-Bulk).

Output
Calculated density in g/cm³: 8.0

Lattice parameters (Å, degrees): 3.5074 3.5074 7.5842 90.00 90.00 90.00
Space group P4/mmm (No. 123)
One atom of each set of equivalent atoms:
Eu1 0.0000 0.0000 0.1991 [2 per cell]
I1 0.5000 0.5000 0.5000 [1 per cell]
O1 0.5000 0.5000 0.0000 [1 per cell]

=====

Short version: (x) is the least stable of them.

=====

(w)
# RbEuI2

RbEuI2 after structural relaxation (GGA-PBE, Alexandria via LeMat-Bulk).

Output
Calculated density in g/cm³: 5.4

Lattice parameters (Å, degrees): 4.1490 4.1490 8.8540 90.00 90.00 90.00
Space group P4/mmm (No. 123)
One atom of each set of equivalent atoms:
Rb1 0.0000 0.0000 0.0000 [1 per cell]
Eu1 0.0000 0.0000 0.5000 [1 per cell]
I1 0.5000 0.5000 0.2782 [2 per cell]

=====

(x)
# RbEuI2

RbEuI2 after structural relaxation (GGA-PBE, Alexandria via LeMat-Bulk).

Output
Calculated density in g/cm³: 4.7

Lattice parameters (Å, degrees): 4.5505 4.5505 28.9445 90.00 90.00 120.00
Space group R-3m (No. 166, hexagonal axes)
One atom of each set of equivalent atoms:
Rb1 0.0000 0.0000 0.0000 [3 per cell]
Eu1 0.0000 0.0000 0.5000 [3 per cell]
I1 0.0000 0.0000 0.2373 [6 per cell]

=====

Short version: (w) is the least stable of them.

=====

(w)
# EuSI

EuSI after structural relaxation (GGA-PBE, Alexandria via LeMat-Bulk).

Output
Calculated density in g/cm³: 4.7

Lattice parameters (Å, degrees): 4.4100 4.4100 6.5438 90.00 90.00 120.00
Space group P3m1 (No. 156)
One atom of each set of equivalent atoms:
Eu1 0.0000 0.0000 0.0000 [1 per cell]
S1 0.6667 0.3333 0.1658 [1 per cell]
I1 0.3333 0.6667 0.6902 [1 per cell]

=====

(x)
# EuSI

EuSI after structural relaxation (GGA-PBE, Alexandria via LeMat-Bulk).

Output
Calculated density in g/cm³: 5.8

Lattice parameters (Å, degrees): 3.9219 3.9219 11.6696 90.00 90.00 90.00
Space group I4mm (No. 107)
One atom of each set of equivalent atoms:
Eu1 0.0000 0.0000 0.0000 [2 per cell]
S1 0.0000 0.0000 0.5725 [2 per cell]
I1 0.0000 0.0000 0.3022 [2 per cell]

=====

Short version: (x) is the least stable of them.

=====

(w)
# Eu2SiI

Eu2SiI after structural relaxation (GGA-PBE, Alexandria via LeMat-Bulk).

Output
Calculated density in g/cm³: 6.4

Lattice parameters (Å, degrees): 3.7571 3.7571 8.4287 90.00 90.00 90.00
Space group P4/mmm (No. 123)
One atom of each set of equivalent atoms:
Eu1 0.0000 0.0000 0.2115 [2 per cell]
Si1 0.5000 0.5000 0.0000 [1 per cell]
I1 0.5000 0.5000 0.5000 [1 per cell]

=====

(x)
# Eu2SiI

Eu2SiI after structural relaxation (GGA-PBE, Alexandria via LeMat-Bulk).

Output
Calculated density in g/cm³: 5.7

Lattice parameters (Å, degrees): 4.3868 4.3868 23.9742 90.00 90.00 120.00
Space group R-3m (No. 166, hexagonal axes)
One atom of each set of equivalent atoms:
Eu1 0.0000 0.0000 0.2362 [6 per cell]
Si1 0.0000 0.0000 0.5000 [3 per cell]
I1 0.0000 0.0000 0.0000 [3 per cell]

=====

Short version: (w) is the least stable of them.